(1)
DFT (PBE-GGA) results for a geometry-optimized PmNd3Y7 structure.

Calculated values
E above lowest polymorph	0	meV/atom
formation enthalpy at 0 K	138.9	meV/atom

abc: 8.949 10.196 5.587
angles: 90.01 128.59 105.75
Fractional positions:
Pm 0.500 0.500 0.500
Y 0.500 0.000 0.500
Y 0.088 0.171 0.088
Y 0.818 0.636 0.318
Y 0.182 0.364 0.682
Y 0.912 0.829 0.912
Y 0.358 0.713 0.858
Y 0.642 0.287 0.142
Nd 0.216 0.999 0.717
Nd 0.000 0.500 0.000
Nd 0.784 0.001 0.283

(2)
DFT (PBE-GGA) results for a geometry-optimized Pr6CdPd structure.

Calculated values
formation enthalpy at 0 K	-185.8	meV/atom

abc: 6.666 8.767 6.434
angles: 67.91 83.93 46.92
Fractional positions:
Pr 0.837 0.745 0.255
Pr 0.568 0.663 0.913
Pr 0.857 0.912 0.662
Pr 0.432 0.337 0.087
Pr 0.143 0.088 0.338
Pr 0.163 0.255 0.745
Cd 0.500 0.500 0.500
Pd 0.000 0.000 0.000

(3)
DFT (PBE-GGA) results for a geometry-optimized Si3SbMo structure.

Calculated values
E above lowest polymorph	1431	meV/atom
ΔE_f (raw)	2.1071	eV per atom

abc: 4.978 4.978 4.978
angles: 90.00 90.00 90.00
Site moments in Bohr magnetons follow the coordinates.
Fractional positions:
Si 0.000 0.000 0.500  -0.01
Si 0.000 0.500 0.000  0.02
Si 0.500 0.000 0.000  0.02
Sb 0.000 0.000 0.000  -0.03
Mo 0.500 0.500 0.500  -0.46

(4)
DFT (PBE-GGA) results for a geometry-optimized SrHgRu2 structure.

Calculated values
formation enthalpy at 0 K	711.9	meV/atom

abc: 3.240 5.043 4.841
angles: 90.00 90.00 90.00
Site moments in Bohr magnetons follow the coordinates.
Fractional positions:
Sr 0.500 0.000 0.500  -0.03
Ru 0.500 0.500 0.000  0.70
Ru 0.000 0.000 0.000  0.78
Hg 0.000 0.500 0.500  -0.01

(5)
DFT (PBE-GGA) results for a geometry-optimized LaErH4 structure.

abc: 3.760 3.760 5.465
angles: 90.00 90.00 90.00
Fractional positions:
H 0.001 0.497 0.721
H 0.001 0.497 0.276
H 0.501 0.997 0.276
H 0.501 0.997 0.721
Er 0.001 0.997 0.498
La 0.501 0.497 0.998

(6)
DFT (PBE-GGA) results for a geometry-optimized Tl2BRu structure.

Calculated values
E above lowest polymorph	0	meV/atom
formation enthalpy at 0 K	722.7	meV/atom

abc: 9.930 9.930 7.299
angles: 47.14 47.14 90.00
Fractional positions:
B 0.250 0.750 0.500
B 0.500 0.500 0.000
Tl 0.369 0.625 0.250
Tl 0.381 0.125 0.250
Tl 0.375 0.619 0.750
Tl 0.875 0.631 0.750
Ru 0.750 0.250 0.500
Ru 0.000 0.000 0.000

(7)
DFT (PBE-GGA) results for a geometry-optimized MnCrAs2Se structure.

Calculated values
ΔE_f (raw)	0.4798	eV per atom

abc: 4.530 4.530 5.370
angles: 90.00 90.00 90.00
Site moments in Bohr magnetons follow the coordinates.
Fractional positions:
Se 0.000 0.000 0.500  -0.05
Mn 0.500 0.500 0.500  4.43
As 0.500 0.000 0.000  -0.15
As 0.000 0.500 0.000  -0.15
Cr 0.000 0.000 0.000  1.83

(8)
DFT (PBE-GGA) results for a geometry-optimized PmSiTe3 structure.

Calculated values
E above lowest polymorph	55	meV/atom
ΔE_f (raw)	-0.5442	eV per atom

abc: 6.572 7.397 8.325
angles: 107.08 88.97 127.44
Fractional positions:
Te 0.638 0.931 0.655
Te 0.389 0.098 0.327
Te 0.164 0.408 0.631
Te 0.794 0.633 0.901
Te 0.930 0.680 0.390
Te 0.195 0.386 0.113
Si 0.531 0.038 0.013
Si 0.171 0.620 0.944
Pm 0.770 0.948 0.265
Pm 0.236 0.076 0.762

(9)
DFT (PBE-GGA) results for a geometry-optimized Tb4SmErTm2 structure.

Calculated values
formation enthalpy at 0 K	19.0	meV/atom

abc: 5.013 5.005 11.193
angles: 63.46 90.00 90.00
Fractional positions:
Tb 0.000 0.748 0.752
Tb 0.000 0.252 0.248
Tb 0.500 0.248 0.752
Tb 0.500 0.752 0.248
Tm 0.500 0.000 0.500
Tm 0.000 0.000 0.000
Sm 0.000 0.500 0.500
Er 0.500 0.500 0.000

(10)
DFT (PBE-GGA) results for a geometry-optimized SrTiIr3 structure.

Calculated values
E above lowest polymorph	0	meV/atom
formation enthalpy at 0 K	342.6	meV/atom

abc: 4.713 4.713 4.713
angles: 90.00 90.00 90.00
Fractional positions:
Sr 0.500 0.500 0.500
Ir 0.000 0.500 0.000
Ir 0.500 0.000 0.000
Ir 0.000 0.000 0.500
Ti 0.000 0.000 0.000

(11)
DFT (PBE-GGA) results for a geometry-optimized CrTeBr structure.

Calculated values
ΔE_f (raw)	-0.4736	eV per atom

abc: 3.795 3.795 7.250
angles: 90.00 90.00 120.00
Site moments in Bohr magnetons follow the coordinates.
Fractional positions:
Br 0.000 0.000 0.122  -0.02
Cr 0.667 0.333 0.332  3.12
Te 0.333 0.667 0.546  -0.24

(12)
DFT (PBE-GGA) results for a geometry-optimized TlIn16Ga12 structure.

Calculated values
formation enthalpy at 0 K	41.9	meV/atom

abc: 9.384 9.384 10.107
angles: 67.86 67.86 101.32
Fractional positions:
In 0.290 0.598 0.399
In 0.003 0.693 0.607
In 0.343 0.343 0.672
In 0.641 0.995 0.999
In 0.396 0.996 0.319
In 0.995 0.641 0.999
In 0.013 0.013 0.329
In 0.723 0.319 0.679
In 0.669 0.394 0.004
In 0.996 0.396 0.319
In 0.306 0.306 0.298
In 0.996 0.996 0.999
In 0.394 0.669 0.004
In 0.319 0.723 0.679
In 0.693 0.003 0.607
In 0.598 0.290 0.399
Ga 0.366 0.173 0.000
Ga 0.191 0.002 0.645
Ga 0.642 0.832 0.345
Ga 0.002 0.191 0.645
Ga 0.832 0.642 0.345
Ga 0.636 0.636 0.172
Ga 0.364 0.995 0.821
Ga 0.812 0.178 0.188
Ga 0.178 0.812 0.188
Ga 0.822 0.822 0.822
Ga 0.173 0.366 0.000
Ga 0.995 0.364 0.821
Tl 0.611 0.611 0.699

(13)
DFT (PBE-GGA) results for a geometry-optimized SrMo2Os structure.

Calculated values
E above lowest polymorph	367	meV/atom
formation enthalpy at 0 K	989.9	meV/atom

abc: 5.599 5.599 2.737
angles: 81.43 81.43 118.66
Fractional positions:
Mo 0.500 0.500 0.000
Mo 0.000 0.000 0.000
Os 0.500 0.000 0.500
Sr 0.000 0.500 0.500

(14)
DFT (PBE-GGA) results for a geometry-optimized Er3InCo8 structure.

Calculated values
formation enthalpy at 0 K	-202.1	meV/atom

abc: 5.000 5.000 8.709
angles: 73.32 73.32 60.00
Site moments in Bohr magnetons follow the coordinates.
Fractional positions:
In 0.874 0.874 0.378  -0.04
Co 0.938 0.938 0.686  1.26
Co 0.437 0.936 0.189  1.22
Co 0.188 0.188 0.437  1.23
Co 0.938 0.439 0.686  1.26
Co 0.439 0.938 0.686  1.26
Co 0.688 0.688 0.937  1.19
Co 0.437 0.437 0.189  1.22
Co 0.936 0.437 0.189  1.22
Er 0.376 0.376 0.873  -0.39
Er 0.502 0.502 0.493  -0.35
Er 0.997 0.997 0.009  -0.36

(15)
DFT (PBE-GGA) results for a geometry-optimized TaCo2TcH structure.

Calculated values
E above lowest polymorph	56	meV/atom

abc: 3.709 3.709 3.993
angles: 90.00 90.00 90.00
Fractional positions:
Co 0.000 0.500 0.000
Co 0.500 0.000 0.000
Tc 0.500 0.500 0.500
H 0.000 0.000 0.000
Ta 0.000 0.000 0.500

(16)
DFT (PBE-GGA) results for a geometry-optimized TlHg3P structure.

Calculated values
E above lowest polymorph	0	meV/atom
formation enthalpy at 0 K	240.6	meV/atom

abc: 5.252 5.252 5.252
angles: 90.00 90.00 90.00
Fractional positions:
Tl 0.500 0.500 0.500
Hg 0.000 0.500 0.000
Hg 0.500 0.000 0.000
Hg 0.000 0.000 0.500
P 0.000 0.000 0.000

(17)
DFT (PBE-GGA) results for a geometry-optimized BaZr2W structure.

Calculated values
E above lowest polymorph	1022	meV/atom
formation enthalpy at 0 K	1363.1	meV/atom

abc: 5.808 5.808 9.634
angles: 72.46 72.46 90.00
Fractional positions:
Zr 0.375 0.125 0.750
Zr 0.875 0.625 0.250
Zr 0.875 0.125 0.250
Zr 0.875 0.125 0.750
Ba 0.250 0.750 0.500
Ba 0.500 0.500 0.000
W 0.750 0.250 0.500
W 0.000 0.000 0.000

(18)
DFT (PBE-GGA) results for a geometry-optimized Zn2Ga2Au structure.

Calculated values
E above lowest polymorph	64	meV/atom
formation enthalpy at 0 K	65.2	meV/atom

abc: 3.725 3.725 6.948
angles: 74.45 74.45 90.00
Fractional positions:
Au 0.000 0.000 0.000
Ga 0.750 0.250 0.500
Ga 0.250 0.750 0.500
Zn 0.405 0.405 0.190
Zn 0.595 0.595 0.810

(19)
DFT (PBE-GGA) results for a geometry-optimized Dy2HfNpN4 structure.

Calculated values
ΔE_f (raw)	-1.5847	eV per atom

abc: 3.381 5.868 5.872
angles: 109.00 90.00 90.00
Site moments in Bohr magnetons follow the coordinates.
Fractional positions:
Hf 0.000 0.000 0.000  0.06
N 0.500 0.764 0.773  -0.04
N 0.000 0.755 0.233  -0.08
N 0.000 0.245 0.767  -0.08
N 0.500 0.236 0.227  -0.04
Dy 0.500 0.000 0.500  0.08
Dy 0.000 0.500 0.500  0.10
Np 0.500 0.500 0.000  3.01

(20)
DFT (PBE-GGA) results for a geometry-optimized Tl2AsBr structure.

Calculated values
E above lowest polymorph	53	meV/atom
ΔE_f (raw)	-0.1311	eV per atom

abc: 8.780 5.621 3.551
angles: 90.93 64.84 130.29
Fractional positions:
Tl 0.500 0.000 0.500
Tl 0.000 0.000 0.000
As 0.000 0.500 0.500
Br 0.500 0.500 0.000

Number 1: E -5.707 eV per atom, total magnetization 0.0 μB/cell. Number 2: E -4.534 eV per atom, total magnetization 0.0 μB/cell. Number 3: E -4.137 eV per atom, total magnetization 0.5 μB/cell. Number 4: E -4.422 eV per atom, total magnetization 1.5 μB/cell. Number 5: E -4.488 eV per atom, total magnetization 0.0 μB/cell. Number 6: E -4.449 eV per atom, total magnetization 0.0 μB/cell. Number 7: E -5.836 eV per atom, total magnetization 6.2 μB/cell. Number 8: E -4.464 eV per atom, total magnetization 0.0 μB/cell. Number 9: E -4.574 eV per atom, total magnetization 0.0 μB/cell. Number 10: E -6.889 eV per atom, total magnetization 0.0 μB/cell. Number 11: E -5.286 eV per atom, total magnetization 3.0 μB/cell. Number 12: E -2.803 eV per atom, total magnetization 0.0 μB/cell. Number 13: E -7.654 eV per atom, total magnetization 0.0 μB/cell. Number 14: E -6.308 eV per atom, total magnetization 8.6 μB/cell. Number 15: E -8.056 eV per atom, total magnetization 0.0 μB/cell. Number 16: E -1.496 eV per atom, total magnetization 0.0 μB/cell. Number 17: E -6.630 eV per atom, total magnetization 0.0 μB/cell. Number 18: E -2.311 eV per atom, total magnetization 0.0 μB/cell. Number 19: E -9.760 eV per atom, total magnetization 3.2 μB/cell. Number 20: E -2.895 eV per atom, total magnetization 0.0 μB/cell.